(1)
An optimized crystal structure of SiPb2N, computed with PBE.

```
SiPb2N
1.0
1.609 -3.111 3.399
-1.717 0.267 4.561
-2.952 -3.494 1.704
Pb Si N
2 1 1
Direct
0.250 0.250 0.250 Pb
0.750 0.750 0.750 Pb
0.500 0.500 0.500 Si
0.000 0.000 0.000 N
```

Calculated values
M_tot ... 1.0 μB/f.u.
Total DFT energy (no corrections) ... -4.1337 eV per atom
Relative energy among the computed polymorphs ... 421 meV per atom



(2)
An optimized crystal structure of SiPb3N, computed with PBE.

```
SiPb3N
1.0
4.989 0.000 0.000
0.000 4.989 0.000
0.000 0.000 4.989
Pb Si N
3 1 1
Direct
0.000 0.500 0.000 Pb
0.000 0.000 0.500 Pb
0.500 0.000 0.000 Pb
0.500 0.500 0.500 Si
0.000 0.000 0.000 N
```

Calculated values
M_tot ... 0.0 μB/f.u.
Total DFT energy (no corrections) ... -4.2483 eV per atom
Relative energy among the computed polymorphs ... 0 meV per atom



> Look up the relative energy among the computed polymorphs of the first one.

421 meV per atom



> The highest M_tot belongs to which entry?

SiPb2N



> Look up the total DFT energy (no corrections) of the second one.

-4.2483 eV per atom



What did the first record say?
An optimized crystal structure of SiPb2N, computed with PBE.

```
SiPb2N
1.0
1.609 -3.111 3.399
-1.717 0.267 4.561
-2.952 -3.494 1.704
Pb Si N
2 1 1
Direct
0.250 0.250 0.250 Pb
0.750 0.750 0.750 Pb
0.500 0.500 0.500 Si
0.000 0.000 0.000 N
```

Calculated values
M_tot ... 1.0 μB/f.u.
Total DFT energy (no corrections) ... -4.1337 eV per atom
Relative energy among the computed polymorphs ... 421 meV per atom